First-principles (GGA-PBE) data for an optimized crystal structure of VZnCd, as listed in the Alexandria database.

Cell: 2.810 2.811 13.717 Å, 88.51 88.47 68.65°
Fractional coordinates of all 6 atoms:
V  0.000  0.000  0.000
V  0.482  0.490  0.132
Zn  0.506  0.504  0.846
Zn  0.928  0.938  0.286
Cd  0.177  0.176  0.668
Cd  0.564  0.569  0.465

Output
The energy relative to the elements is 26 kJ/mol of formula units. The relative energy among the computed polymorphs is 0.0 kJ/mol of atoms. Its symmetry is P1 (1). For the total energy, the calculation gives -22.071 eV/cell.